Record 1
{
  "formula": "Cs2MgSnF6",
  "functional": "PBE",
  "state": "optimized geometry",
  "e_form_raw_mev_per_atom": -2803.4,
  "cell": [[4.586, 0.000, 0.000], [0.000, 4.586, 0.000], [0.000, 0.000, 9.015]],
  "species": ["F", "F", "F", "F", "F", "F", "Sn", "Cs", "Cs", "Mg"],
  "fractional_positions": [[0.000, 0.500, 0.000], [0.500, 0.500, 0.717], [0.500, 0.000, 0.500], [0.000, 0.500, 0.500], [0.500, 0.000, 0.000], [0.500, 0.500, 0.283], [0.500, 0.500, 0.000], [0.000, 0.000, 0.269], [0.000, 0.000, 0.731], [0.500, 0.500, 0.500]]
}

=====

Record 2
{
  "formula": "Co2BrN",
  "functional": "PBE",
  "state": "optimized geometry",
  "e_form_raw_mev_per_atom": 214.1,
  "relative_energy_mev_per_atom": 0,
  "cell": [[-2.504, 2.016, 3.631], [-3.632, 0.994, -3.056], [-5.076, -2.777, 1.280]],
  "species": ["N", "N", "Br", "Br", "Co", "Co", "Co", "Co"],
  "fractional_positions": [[0.500, 0.500, 0.000], [0.250, 0.750, 0.500], [0.750, 0.250, 0.500], [0.000, 0.000, 0.000], [0.242, 0.625, 0.250], [0.875, 0.758, 0.750], [0.508, 0.125, 0.250], [0.375, 0.492, 0.750]]
}

=====

Record 3
{
  "formula": "MgCoBiI2",
  "functional": "PBE",
  "state": "optimized geometry",
  "e_form_raw_mev_per_atom": 686.2,
  "cell": [[-3.766, 2.058, -3.609], [2.952, -2.102, -4.279], [-2.635, -4.303, 0.296]],
  "species": ["I", "I", "Bi", "Mg", "Co"],
  "fractional_positions": [[0.500, 0.000, 0.000], [0.000, 0.500, 0.000], [0.500, 0.500, 0.500], [0.000, 0.000, 0.000], [0.000, 0.000, 0.500]]
}

=====

Record 4
{
  "formula": "Tb4Dy2Y2Ho",
  "functional": "PBE",
  "state": "optimized geometry",
  "energy_ev_per_atom": -5.02,
  "cell": [[-0.176, 2.866, 2.153], [-6.344, 2.359, -6.649], [-3.336, -5.493, 7.037]],
  "species": ["Tb", "Tb", "Tb", "Tb", "Y", "Y", "Dy", "Dy", "Ho"],
  "fractional_positions": [[0.185, 0.370, 0.334], [0.482, 0.963, 0.668], [0.518, 0.037, 0.332], [0.815, 0.630, 0.666], [0.148, 0.295, 0.667], [0.852, 0.705, 0.333], [0.667, 0.333, 0.001], [0.333, 0.667, 0.999], [0.000, 0.000, 0.000]]
}

=====

| no. | size of the total moment (Bohr magnetons per cell) |
| --- | --- |
| 1 | 0.0 |
| 2 | 3.9 |
| 3 | 2.0 |
| 4 | 0.0 |